[1]
NbRePt | PBE-GGA | optimized geometry

Properties
ΔE_f   -0.26 eV/atom
Space-group type   No. 38

```
NbRePt
1.0
4.6206 0.0000 0.0000
0.0000 4.2843 2.4371
0.0000 -4.2843 2.4371
Nb Re Pt
2 2 2
Direct
0.0000 0.0000 0.0000
0.5000 0.3727 0.3727
0.0000 0.3426 0.6845
0.0000 0.6845 0.3426
0.5000 0.0196 0.6809
0.5000 0.6809 0.0196
```

[2]
Ac6Pt2Rh3Se | PBE-GGA | optimized geometry

Properties
Space-group type   No. 12
E_form (uncorrected)   -999 meV per atom

```
Ac6Pt2Rh3Se
1.0
9.5798 -2.1757 0.0000
9.5798 2.1757 0.0000
-2.1522 0.0000 8.5548
Ac Pt Rh Se
6 2 3 1
Direct
0.0028 0.0028 0.2340
0.3273 0.3273 0.4201
0.3326 0.3326 0.9143
0.6674 0.6674 0.0857
0.6727 0.6727 0.5799
0.9972 0.9972 0.7660
0.1658 0.1658 0.8307
0.8342 0.8342 0.1693
0.1636 0.1636 0.3295
0.5000 0.5000 0.0000
0.8364 0.8364 0.6705
0.5000 0.5000 0.5000
```

[3]
LaPm5Tm4 | PBE-GGA | optimized geometry

Properties
ΔE_f   0.02 eV/atom
Space-group type   No. 123

```
LaPm5Tm4
1.0
3.6131 0.0000 0.0000
0.0000 3.6131 0.0000
0.0000 0.0000 25.1885
La Pm Tm
1 5 4
Direct
0.0000 0.0000 0.0000
0.5000 0.5000 0.1058
0.5000 0.5000 0.3033
0.5000 0.5000 0.5000
0.5000 0.5000 0.6967
0.5000 0.5000 0.8942
0.0000 0.0000 0.2048
0.0000 0.0000 0.4016
0.0000 0.0000 0.5984
0.0000 0.0000 0.7952
```

[4]
CeMgSnRu | PBE-GGA | optimized geometry

Properties
ΔE_f   -0.26 eV/atom
Space-group type   No. 216

```
CeMgSnRu
1.0
0.0000 3.4264 3.4264
3.4264 0.0000 3.4264
3.4264 3.4264 0.0000
Ce Mg Sn Ru
1 1 1 1
Direct
0.0000 0.0000 0.0000
0.7500 0.7500 0.7500
0.5000 0.5000 0.5000
0.2500 0.2500 0.2500
```

[5]
Y2Ni | PBE-GGA | optimized geometry

Properties
ΔE_f   0.41 eV/atom
Space-group type   No. 191

```
Y2Ni
1.0
4.9837 0.0000 0.0000
-2.4919 4.3160 0.0000
0.0000 0.0000 3.0653
Y Ni
2 1
Direct
0.3333 0.6667 0.0000
0.6667 0.3333 0.0000
0.0000 0.0000 0.5000
```

[6]
LaScPd2 | PBE-GGA | optimized geometry

Properties
ΔE_f   -0.78 eV/atom
Space-group type   No. 59

```
LaScPd2
1.0
4.7109 0.0000 0.0000
0.0000 6.9309 0.0000
0.0000 0.0000 5.5577
La Sc Pd
2 2 4
Direct
0.2500 0.2500 0.1762
0.7500 0.7500 0.8238
0.2500 0.7500 0.3259
0.7500 0.2500 0.6741
0.2500 0.0327 0.6737
0.2500 0.4673 0.6737
0.7500 0.5327 0.3263
0.7500 0.9673 0.3263
```

[7]
TlHg6 | PBE-GGA | optimized geometry

Properties
ΔE_f   0.01 eV/atom
Space-group type   No. 123

```
TlHg6
1.0
5.0851 0.0000 0.0000
0.0000 5.0851 0.0000
0.0000 0.0000 8.3807
Tl Hg
1 6
Direct
0.0000 0.0000 0.0000
0.0000 0.0000 0.5000
0.0000 0.5000 0.2425
0.0000 0.5000 0.7575
0.5000 0.0000 0.2425
0.5000 0.0000 0.7575
0.5000 0.5000 0.5000
```

[8]
CaSnBi3 | PBE-GGA | optimized geometry

Properties
ΔE_f   0.30 eV/atom
Space-group type   No. 221

```
CaSnBi3
1.0
5.8299 0.0000 0.0000
0.0000 5.8299 0.0000
0.0000 0.0000 5.8299
Ca Sn Bi
1 1 3
Direct
0.0000 0.0000 0.0000
0.5000 0.5000 0.5000
0.0000 0.5000 0.5000
0.5000 0.0000 0.5000
0.5000 0.5000 0.0000
```

[9]
Nd2ErTm4Th | PBE-GGA | optimized geometry

Properties
ΔE_f   0.03 eV/atom
Space-group type   No. 123

```
Nd2ErTm4Th
1.0
5.0600 0.0000 0.0000
0.0000 5.0600 0.0000
0.0000 0.0000 9.8892
Nd Er Tm Th
2 1 4 1
Direct
0.0000 0.0000 0.0000
0.5000 0.5000 0.5000
0.0000 0.0000 0.5000
0.0000 0.5000 0.2476
0.0000 0.5000 0.7524
0.5000 0.0000 0.2476
0.5000 0.0000 0.7524
0.5000 0.5000 0.0000
```

[10]
FeP2Br | PBE-GGA | optimized geometry

Properties
Space-group type   No. 139
E_form (uncorrected)   626 meV per atom

```
FeP2Br
1.0
-1.7220 1.7220 6.5619
1.7220 -1.7220 6.5619
1.7220 1.7220 -6.5619
Fe P Br
1 2 1
Direct
0.0000 0.0000 0.0000
0.2500 0.7500 0.5000
0.7500 0.2500 0.5000
0.5000 0.5000 0.0000
```

[11]
Pr3NiSe2 | PBE-GGA | optimized geometry

Properties
Space-group type   No. 71
E_form (uncorrected)   -1262 meV per atom

```
Pr3NiSe2
1.0
-2.0425 3.0451 6.4816
2.0425 -3.0451 6.4816
2.0425 3.0451 -6.4816
Pr Ni Se
3 1 2
Direct
0.0000 0.0000 0.0000
0.3486 0.3486 0.0000
0.6514 0.6514 0.0000
0.5000 0.0000 0.5000
0.1721 0.6721 0.5000
0.8279 0.3279 0.5000
```

[12]
Tm2AlTc3 | PBE-GGA | optimized geometry

Properties
ΔE_f   -0.37 eV/atom
Space-group type   No. 166

```
Tm2AlTc3
1.0
2.6599 1.5357 4.4589
-2.6599 1.5357 4.4589
0.0000 -3.0713 4.4589
Tm Al Tc
2 1 3
Direct
0.1213 0.1213 0.1213
0.8787 0.8787 0.8787
0.5000 0.5000 0.5000
0.0000 0.5000 0.5000
0.5000 0.0000 0.5000
0.5000 0.5000 0.0000
```

[13]
NdSmEr2 | PBE-GGA | optimized geometry

Properties
ΔE_f   0.02 eV/atom
Space-group type   No. 166

```
NdSmEr2
1.0
1.7923 1.0348 11.5966
-1.7923 1.0348 11.5966
0.0000 -2.0696 11.5966
Nd Sm Er
1 1 2
Direct
0.0000 0.0000 0.0000
0.5000 0.5000 0.5000
0.2495 0.2495 0.2495
0.7505 0.7505 0.7505
```

[14]
NpPaAgO6 | PBE-GGA | optimized geometry

Properties
Space-group type   No. 163
E_form (uncorrected)   -2536 meV per atom

```
NpPaAgO6
1.0
5.9275 0.0000 0.0000
-2.9637 5.1333 0.0000
0.0000 0.0000 9.6606
Np Pa Ag O
2 2 2 12
Direct
0.3333 0.6667 0.2500
0.6667 0.3333 0.7500
0.3333 0.6667 0.7500
0.6667 0.3333 0.2500
0.0000 0.0000 0.0000
0.0000 0.0000 0.5000
0.0135 0.3781 0.1430
0.0135 0.6353 0.3570
0.3647 0.3781 0.3570
0.3647 0.9865 0.1430
0.3781 0.0135 0.6430
0.3781 0.3647 0.8570
0.6219 0.6353 0.1430
0.6219 0.9865 0.3570
0.6353 0.0135 0.8570
0.6353 0.6219 0.6430
0.9865 0.3647 0.6430
0.9865 0.6219 0.8570
```

[15]
CaCuB2W | PBE-GGA | optimized geometry

Properties
ΔE_f   1.76 eV/atom
Space-group type   No. 123

```
CaCuB2W
1.0
3.9733 0.0000 0.0000
0.0000 3.9733 0.0000
0.0000 0.0000 4.6150
Ca Cu B W
1 1 2 1
Direct
0.0000 0.0000 0.0000
0.0000 0.0000 0.5000
0.0000 0.5000 0.5000
0.5000 0.0000 0.5000
0.5000 0.5000 0.0000
```

[16]
LiNpTe4 | PBE-GGA | optimized geometry

Properties
Space-group type   No. 14
E_form (uncorrected)   -430 meV per atom

```
LiNpTe4
1.0
7.3551 0.0000 0.0000
0.0000 7.1609 0.0000
-0.5601 0.0000 7.2867
Li Np Te
2 2 8
Direct
0.0000 0.0000 0.0000
0.0000 0.5000 0.5000
0.5000 0.0000 0.5000
0.5000 0.5000 0.0000
0.0954 0.1211 0.3898
0.0954 0.3789 0.8898
0.3608 0.5946 0.3856
0.3608 0.9054 0.8856
0.6392 0.0946 0.1144
0.6392 0.4054 0.6144
0.9046 0.6211 0.1102
0.9046 0.8789 0.6102
```

[17]
Cr2CuAg | PBE-GGA | optimized geometry

Properties
ΔE_f   0.51 eV/atom
Space-group type   No. 47

```
Cr2CuAg
1.0
2.7112 0.0000 0.0000
0.0000 4.0114 0.0000
0.0000 0.0000 5.1290
Cr Cu Ag
2 1 1
Direct
0.0000 0.0000 0.1884
0.0000 0.0000 0.8116
0.5000 0.5000 0.0000
0.5000 0.5000 0.5000
```

[18]
TlPAu | PBE-GGA | optimized geometry

Properties
ΔE_f   -0.02 eV/atom
Space-group type   No. 15

```
TlPAu
1.0
4.2329 -4.3343 0.0000
4.2329 4.3343 0.0000
-2.3450 0.0000 3.7974
Tl P Au
2 2 2
Direct
0.1388 0.8612 0.7500
0.8612 0.1388 0.2500
0.4387 0.5613 0.2500
0.5613 0.4387 0.7500
0.0000 0.5000 0.0000
0.5000 0.0000 0.5000
```

[19]
CaHfSc3 | PBE-GGA | optimized geometry

Properties
ΔE_f   0.56 eV/atom
Space-group type   No. 221

```
CaHfSc3
1.0
5.3406 0.0000 0.0000
0.0000 5.3406 0.0000
0.0000 0.0000 5.3406
Ca Hf Sc
1 1 3
Direct
0.0000 0.0000 0.0000
0.5000 0.5000 0.5000
0.0000 0.5000 0.5000
0.5000 0.0000 0.5000
0.5000 0.5000 0.0000
```

[20]
Ac2ErPb | PBE-GGA | optimized geometry

Properties
ΔE_f   -0.24 eV/atom
Space-group type   No. 69

```
Ac2ErPb
1.0
0.0000 5.5316 5.8171
4.5420 0.0000 5.8171
4.5420 5.5316 0.0000
Ac Er Pb
4 2 2
Direct
0.1979 0.8021 0.8021
0.2500 0.2500 0.2500
0.7500 0.7500 0.7500
0.8021 0.1979 0.1979
0.2947 0.7053 0.2947
0.7053 0.2947 0.7053
0.2933 0.2933 0.7067
0.7067 0.7067 0.2933
```